An optimized crystal structure of Er2Pa, computed with PBE-GGA.

Lattice parameters (Å, degrees): 3.425 3.425 8.564 101.57 101.57 60.08
Fractional coordinates of all 3 atoms:
Er1 0.227 0.227 0.178
Er2 0.773 0.773 0.822
Pa1 0.000 0.000 0.500

## Properties
The calculation puts the density of states at the Fermi level at 4.08 states/eV/f.u. The value obtained for the formation enthalpy at 0 K is 0.081 eV/atom. For the electronic total energy, the calculation gives -18.38 eV/f.u. The energy above the most stable polymorph in this dataset is 0 meV/atom. As for the crystal system: monoclinic. The space group is C2/m (12).

***

An optimized crystal structure of ErPa4, computed with PBE-GGA.

Lattice parameters (Å, degrees): 5.356 5.356 5.356 90.00 90.00 90.00
Fractional coordinates of all 5 atoms:
Er1 0.000 0.000 0.000
Pa1 0.000 0.000 0.500
Pa2 0.000 0.500 0.000
Pa3 0.500 0.000 0.000
Pa4 0.500 0.500 0.500

## Properties
The calculation puts the density of states at the Fermi level at 15.19 states/eV/f.u. The value obtained for the formation enthalpy at 0 K is 1.555 eV/atom. For the electronic total energy, the calculation gives -34.77 eV/f.u. As for the crystal system: cubic. The space group is Pm-3m (221).

***

An optimized crystal structure of Er3Pa, computed with PBE-GGA.

Lattice parameters (Å, degrees): 5.506 5.506 5.506 60.00 60.00 60.00
Fractional coordinates of all 4 atoms:
Er1 0.000 0.000 0.000
Er2 0.250 0.250 0.250
Er3 0.750 0.750 0.750
Pa1 0.500 0.500 0.500

## Properties
The calculation puts the density of states at the Fermi level at 9.77 states/eV/f.u. The value obtained for the formation enthalpy at 0 K is 0.329 eV/atom. For the electronic total energy, the calculation gives -21.87 eV/f.u. The energy above the most stable polymorph in this dataset is 159 meV/atom. As for the crystal system: cubic. The space group is Fm-3m (225).

***

An optimized crystal structure of ErPa2, computed with PBE-GGA.

Lattice parameters (Å, degrees): 6.692 6.692 6.692 148.81 148.81 44.69
Fractional coordinates of all 3 atoms:
Er1 0.000 0.000 0.000
Pa1 0.314 0.314 0.000
Pa2 0.686 0.686 0.000

## Properties
The calculation puts the density of states at the Fermi level at 6.57 states/eV/f.u. The value obtained for the formation enthalpy at 0 K is 0.241 eV/atom. For the electronic total energy, the calculation gives -22.83 eV/f.u. The energy above the most stable polymorph in this dataset is 11 meV/atom. As for the crystal system: tetragonal. The space group is I4/mmm (139).

***

An optimized crystal structure of ErPaPb, computed with PBE-GGA.

Lattice parameters (Å, degrees): 4.068 4.068 10.020 90.00 90.00 90.00
Fractional coordinates of all 6 atoms:
Er1 0.250 0.250 0.241
Er2 0.750 0.750 0.759
Pa1 0.250 0.250 0.573
Pa2 0.750 0.750 0.427
Pb1 0.250 0.250 0.906
Pb2 0.750 0.750 0.094

## Properties
The calculation puts the density of states at the Fermi level at 5.94 states/eV/f.u. The value obtained for the formation enthalpy at 0 K is 0.069 eV/atom. For the electronic total energy, the calculation gives -17.56 eV/f.u. The energy above the most stable polymorph in this dataset is 0 meV/atom. As for the crystal system: tetragonal. The space group is P4/nmm (129).

***

An optimized crystal structure of ErPa2Pb9, computed with PBE-GGA.

Lattice parameters (Å, degrees): 4.821 4.821 14.561 90.00 90.00 90.00
Fractional coordinates of all 12 atoms:
Er1 0.000 0.000 0.000
Pa1 0.000 0.000 0.338
Pa2 0.000 0.000 0.662
Pb1 0.000 0.500 0.168
Pb2 0.000 0.500 0.500
Pb3 0.000 0.500 0.832
Pb4 0.500 0.000 0.168
Pb5 0.500 0.000 0.500
Pb6 0.500 0.000 0.832
Pb7 0.500 0.500 0.000
Pb8 0.500 0.500 0.334
Pb9 0.500 0.500 0.666

## Properties
The calculation puts the density of states at the Fermi level at 13.21 states/eV/f.u. The value obtained for the formation enthalpy at 0 K is -0.076 eV/atom. For the electronic total energy, the calculation gives -57.84 eV/f.u. As for the crystal system: tetragonal. The space group is P4/mmm (123).

***

An optimized crystal structure of ErPaPb2, computed with PBE-GGA.

Lattice parameters (Å, degrees): 3.460 3.460 9.106 90.00 90.00 90.00
Fractional coordinates of all 4 atoms:
Er1 0.000 0.000 0.000
Pa1 0.000 0.000 0.500
Pb1 0.500 0.500 0.245
Pb2 0.500 0.500 0.755

## Properties
The calculation puts the density of states at the Fermi level at 6.19 states/eV/f.u. The value obtained for the formation enthalpy at 0 K is -0.117 eV/atom. For the electronic total energy, the calculation gives -21.94 eV/f.u. The energy above the most stable polymorph in this dataset is 12 meV/atom. As for the crystal system: tetragonal. The space group is P4/mmm (123).

***

An optimized crystal structure of ErPaPb, computed with PBE-GGA.

Lattice parameters (Å, degrees): 5.438 5.438 3.178 90.00 90.00 120.00
Fractional coordinates of all 3 atoms:
Er1 0.000 0.000 0.000
Pa1 0.667 0.333 0.992
Pb1 0.333 0.667 0.495

## Properties
The calculation puts the density of states at the Fermi level at 5.88 states/eV/f.u. The value obtained for the formation enthalpy at 0 K is 0.340 eV/atom. For the electronic total energy, the calculation gives -16.75 eV/f.u. The energy above the most stable polymorph in this dataset is 271 meV/atom. As for the crystal system: trigonal. The space group is P3m1 (156).

***

An optimized crystal structure of ErPaPb6, computed with PBE-GGA.

Lattice parameters (Å, degrees): 4.831 4.831 9.722 90.00 90.00 90.00
Fractional coordinates of all 8 atoms:
Er1 0.000 0.000 0.000
Pa1 0.000 0.000 0.500
Pb1 0.000 0.500 0.250
Pb2 0.000 0.500 0.750
Pb3 0.500 0.000 0.250
Pb4 0.500 0.000 0.750
Pb5 0.500 0.500 0.000
Pb6 0.500 0.500 0.500

## Properties
The calculation puts the density of states at the Fermi level at 8.20 states/eV/f.u. The value obtained for the formation enthalpy at 0 K is -0.108 eV/atom. For the electronic total energy, the calculation gives -37.17 eV/f.u. As for the crystal system: tetragonal. The space group is P4/mmm (123).

***

An optimized crystal structure of ErPaPb2, computed with PBE-GGA.

Lattice parameters (Å, degrees): 5.781 5.781 3.298 90.00 90.00 90.00
Fractional coordinates of all 4 atoms:
Er1 0.000 0.000 0.000
Pa1 0.500 0.500 0.000
Pb1 0.000 0.500 0.500
Pb2 0.500 0.000 0.500

## Properties
The calculation puts the density of states at the Fermi level at 5.53 states/eV/f.u. The value obtained for the formation enthalpy at 0 K is -0.129 eV/atom. For the electronic total energy, the calculation gives -21.99 eV/f.u. The energy above the most stable polymorph in this dataset is 0 meV/atom. As for the crystal system: tetragonal. The space group is P4/mmm (123).

***

An optimized crystal structure of ErPaPb, computed with PBE-GGA.

Lattice parameters (Å, degrees): 5.941 5.941 5.941 140.62 140.62 56.91
Fractional coordinates of all 3 atoms:
Er1 0.000 0.000 0.000
Pa1 0.689 0.689 0.000
Pb1 0.351 0.351 0.000

## Properties
The calculation puts the density of states at the Fermi level at 5.39 states/eV/f.u. The value obtained for the formation enthalpy at 0 K is 0.132 eV/atom. For the electronic total energy, the calculation gives -17.37 eV/f.u. The energy above the most stable polymorph in this dataset is 63 meV/atom. As for the crystal system: tetragonal. The space group is I4mm (107).

***

An optimized crystal structure of ErPaPb2, computed with PBE-GGA.

Lattice parameters (Å, degrees): 5.955 5.955 5.955 50.21 50.21 50.21
Fractional coordinates of all 4 atoms:
Er1 0.000 0.000 0.000
Pa1 0.500 0.500 0.500
Pb1 0.254 0.254 0.254
Pb2 0.746 0.746 0.746

## Properties
The calculation puts the density of states at the Fermi level at 5.77 states/eV/f.u. The value obtained for the formation enthalpy at 0 K is -0.052 eV/atom. For the electronic total energy, the calculation gives -21.68 eV/f.u. The energy above the most stable polymorph in this dataset is 77 meV/atom. As for the crystal system: trigonal. The space group is R-3m (166).

***

An optimized crystal structure of ErPaZnPb, computed with PBE-GGA.

Lattice parameters (Å, degrees): 5.234 5.234 5.234 60.00 60.00 60.00
Fractional coordinates of all 4 atoms:
Er1 0.000 0.000 0.000
Pa1 0.500 0.500 0.500
Zn1 0.750 0.750 0.750
Pb1 0.250 0.250 0.250

## Properties
The calculation puts the density of states at the Fermi level at 8.81 states/eV/f.u. The value obtained for the formation enthalpy at 0 K is 0.010 eV/atom. For the electronic total energy, the calculation gives -19.00 eV/f.u. As for the crystal system: cubic. The space group is F-43m (216).

***

An optimized crystal structure of ErPa2Pd9, computed with PBE-GGA.

Lattice parameters (Å, degrees): 4.149 4.149 12.410 90.00 90.00 90.00
Fractional coordinates of all 12 atoms:
Er1 0.000 0.000 0.000
Pa1 0.000 0.000 0.330
Pa2 0.000 0.000 0.670
Pd1 0.000 0.500 0.168
Pd2 0.000 0.500 0.500
Pd3 0.000 0.500 0.832
Pd4 0.500 0.000 0.168
Pd5 0.500 0.000 0.500
Pd6 0.500 0.000 0.832
Pd7 0.500 0.500 0.000
Pd8 0.500 0.500 0.333
Pd9 0.500 0.500 0.667

## Properties
The calculation puts the density of states at the Fermi level at 9.31 states/eV/f.u. The value obtained for the formation enthalpy at 0 K is -0.814 eV/atom. For the electronic total energy, the calculation gives -80.06 eV/f.u. As for the crystal system: tetragonal. The space group is P4/mmm (123).

***

An optimized crystal structure of Er3PaPd12, computed with PBE-GGA.

Lattice parameters (Å, degrees): 4.123 4.123 16.371 90.00 90.00 90.00
Fractional coordinates of all 16 atoms:
Er1 0.000 0.000 0.000
Er2 0.000 0.000 0.244
Er3 0.000 0.000 0.756
Pa1 0.000 0.000 0.500
Pd1 0.000 0.500 0.125
Pd2 0.000 0.500 0.378
Pd3 0.000 0.500 0.622
Pd4 0.000 0.500 0.875
Pd5 0.500 0.000 0.125
Pd6 0.500 0.000 0.378
Pd7 0.500 0.000 0.622
Pd8 0.500 0.000 0.875
Pd9 0.500 0.500 0.000
Pd10 0.500 0.500 0.251
Pd11 0.500 0.500 0.500
Pd12 0.500 0.500 0.749

## Properties
The calculation puts the density of states at the Fermi level at 3.92 states/eV/f.u. The value obtained for the formation enthalpy at 0 K is -0.917 eV/atom. For the electronic total energy, the calculation gives -100.17 eV/f.u. As for the crystal system: tetragonal. The space group is P4/mmm (123).

***

An optimized crystal structure of ErPaPd, computed with PBE-GGA.

Lattice parameters (Å, degrees): 3.395 6.096 7.125 102.06 90.08 105.99
Fractional coordinates of all 6 atoms:
Er1 0.138 0.272 0.060
Er2 0.862 0.728 0.940
Pa1 0.171 0.347 0.573
Pa2 0.829 0.653 0.427
Pd1 0.496 0.992 0.290
Pd2 0.504 0.008 0.710

## Properties
The calculation puts the density of states at the Fermi level at 4.85 states/eV/f.u. The value obtained for the formation enthalpy at 0 K is -0.367 eV/atom. For the electronic total energy, the calculation gives -20.35 eV/f.u. The energy above the most stable polymorph in this dataset is 0 meV/atom. As for the crystal system: triclinic. The space group is P-1 (2).

***

An optimized crystal structure of ErPaPd14, computed with PBE-GGA.

Lattice parameters (Å, degrees): 5.803 5.803 7.839 90.00 90.00 90.00
Fractional coordinates of all 16 atoms:
Er1 0.000 0.000 0.000
Pa1 0.500 0.500 0.000
Pd1 0.000 0.000 0.500
Pd2 0.000 0.500 0.000
Pd3 0.000 0.500 0.500
Pd4 0.253 0.253 0.254
Pd5 0.253 0.253 0.746
Pd6 0.253 0.747 0.254
Pd7 0.253 0.747 0.746
Pd8 0.500 0.000 0.000
Pd9 0.500 0.000 0.500
Pd10 0.500 0.500 0.500
Pd11 0.747 0.253 0.254
Pd12 0.747 0.253 0.746
Pd13 0.747 0.747 0.254
Pd14 0.747 0.747 0.746

## Properties
The calculation puts the density of states at the Fermi level at 16.11 states/eV/f.u. The value obtained for the formation enthalpy at 0 K is -0.473 eV/atom. For the electronic total energy, the calculation gives -94.33 eV/f.u. As for the crystal system: tetragonal. The space group is P4/mmm (123).

***

An optimized crystal structure of Er2PaPd, computed with PBE-GGA.

Lattice parameters (Å, degrees): 10.985 10.985 10.985 16.99 16.99 16.99
Fractional coordinates of all 4 atoms:
Er1 0.098 0.098 0.098
Er2 0.902 0.902 0.902
Pa1 0.000 0.000 0.000
Pd1 0.500 0.500 0.500

## Properties
The calculation puts the density of states at the Fermi level at 4.70 states/eV/f.u. The value obtained for the formation enthalpy at 0 K is -0.008 eV/atom. For the electronic total energy, the calculation gives -23.85 eV/f.u. The energy above the most stable polymorph in this dataset is 317 meV/atom. As for the crystal system: trigonal. The space group is R-3m (166).

***

An optimized crystal structure of Er2PaPd, computed with PBE-GGA.

Lattice parameters (Å, degrees): 3.442 3.442 8.158 90.00 90.00 90.00
Fractional coordinates of all 4 atoms:
Er1 0.000 0.000 0.212
Er2 0.000 0.000 0.788
Pa1 0.500 0.500 0.500
Pd1 0.500 0.500 0.000

## Properties
The calculation puts the density of states at the Fermi level at 5.68 states/eV/f.u. The value obtained for the formation enthalpy at 0 K is -0.325 eV/atom. For the electronic total energy, the calculation gives -25.12 eV/f.u. The energy above the most stable polymorph in this dataset is 0 meV/atom. As for the crystal system: tetragonal. The space group is P4/mmm (123).

***

An optimized crystal structure of ErPaPd6, computed with PBE-GGA.

Lattice parameters (Å, degrees): 4.128 4.128 8.236 90.00 90.00 90.00
Fractional coordinates of all 8 atoms:
Er1 0.000 0.000 0.000
Pa1 0.000 0.000 0.500
Pd1 0.000 0.500 0.254
Pd2 0.000 0.500 0.746
Pd3 0.500 0.000 0.254
Pd4 0.500 0.000 0.746
Pd5 0.500 0.500 0.000
Pd6 0.500 0.500 0.500

## Properties
The calculation puts the density of states at the Fermi level at 2.38 states/eV/f.u. The value obtained for the formation enthalpy at 0 K is -0.889 eV/atom. For the electronic total energy, the calculation gives -52.33 eV/f.u. As for the crystal system: tetragonal. The space group is P4/mmm (123).